(1)
Density functional theory data (PBE) for a relaxed structure of CuP.

Results
E (eV/f.u.): -9.30
Energy relative to the elements (eV per atom): 0.102

Cell: 9.2683 9.2683 3.2897 Å, 90.00 90.00 90.00°
Last column: nearest neighbours and their distance in Å.
Positions (direct):
1 Cu 0.8994 0.6038 0.0000  4 P 2.26-2.45
2 Cu 0.4974 0.3055 0.5000  2 P 2.29-2.37, 2 Cu 2.55
3 Cu 0.3962 0.8994 0.0000  4 P 2.26-2.45
4 Cu 0.6945 0.4974 0.5000  2 P 2.29-2.37, 2 Cu 2.55
5 Cu 0.5026 0.6945 0.5000  2 P 2.29-2.37, 2 Cu 2.55
6 Cu 0.1006 0.3962 0.0000  4 P 2.26-2.45
7 Cu 0.3055 0.5026 0.5000  2 P 2.29-2.37, 2 Cu 2.55
8 Cu 0.6038 0.1006 0.0000  4 P 2.26-2.45
9 P 0.7544 0.7366 0.5000  2 P 2.26, 4 Cu 2.29-2.45
10 P 0.8598 0.3577 0.0000  2 P 2.26, 2 Cu 2.26-2.31
11 P 0.6423 0.8598 0.0000  2 P 2.26, 2 Cu 2.26-2.31
12 P 0.1402 0.6423 0.0000  2 P 2.26, 2 Cu 2.26-2.31
13 P 0.2456 0.2633 0.5000  2 P 2.26, 4 Cu 2.29-2.45
14 P 0.2633 0.7544 0.5000  2 P 2.26, 4 Cu 2.29-2.45
15 P 0.3577 0.1402 0.0000  2 P 2.26, 2 Cu 2.26-2.31
16 P 0.7366 0.2456 0.5000  2 P 2.26, 4 Cu 2.29-2.45

=====

(2)
Density functional theory data (PBE) for a relaxed structure of CuP10.

Results
E (eV/f.u.): -58.75
Energy relative to the elements (eV per atom): -0.051

Cell: 7.2621 12.2905 12.8439 Å, 62.72 82.29 82.11°
Last column: nearest neighbours and their distance in Å.
Positions (direct):
1 P 0.8270 0.3520 0.9832  3 P 2.21-2.27
2 P 0.2671 0.6133 0.2918  3 P 2.23-2.31, 1 Cu 2.31
3 P 0.5094 0.1195 0.7131  3 P 2.17-2.27, 1 Cu 2.30
4 P 0.9302 0.1573 0.0253  3 P 2.18-2.25, 1 Cu 2.29
5 P 0.4708 0.6536 0.5623  3 P 2.20-2.24
6 P 0.5292 0.3464 0.4377  3 P 2.20-2.24
7 P 0.8334 0.0851 0.2170  3 P 2.25-2.27
8 P 0.0698 0.8427 0.9747  3 P 2.18-2.25, 1 Cu 2.29
9 P 0.7433 0.7897 0.2414  2 P 2.17, 1 Cu 2.32
10 P 0.4840 0.1560 0.0252  3 P 2.18-2.25, 1 Cu 2.29
11 P 0.5352 0.5679 0.2065  3 P 2.21-2.23
12 P 0.4648 0.4321 0.7935  3 P 2.21-2.23
13 P 0.4767 0.9165 0.7831  3 P 2.25-2.27
14 P 0.7385 0.5573 0.5267  3 P 2.24-2.31
15 P 0.5005 0.6260 0.7421  3 P 2.21-2.31
16 P 0.8279 0.8542 0.4699  3 P 2.20-2.28
17 P 0.9299 0.4366 0.7958  3 P 2.21-2.24
18 P 0.9300 0.6597 0.5662  3 P 2.20-2.24
19 P 0.4906 0.8805 0.2869  3 P 2.17-2.27, 1 Cu 2.30
20 P 0.4995 0.3740 0.2579  3 P 2.21-2.31
21 P 0.8176 0.6291 0.7454  3 P 2.21-2.31
22 P 0.5233 0.0835 0.2169  3 P 2.25-2.27
23 P 0.5160 0.8440 0.9748  3 P 2.18-2.25, 1 Cu 2.29
24 P 0.7329 0.3867 0.7081  3 P 2.23-2.31, 1 Cu 2.31
25 P 0.2567 0.2103 0.7586  2 P 2.17, 1 Cu 2.32
26 P 0.9286 0.8822 0.2876  3 P 2.17-2.27, 1 Cu 2.30
27 P 0.5154 0.3512 0.9811  3 P 2.21-2.27
28 P 0.1721 0.1458 0.5301  3 P 2.20-2.28
29 P 0.7402 0.0928 0.9525  2 P 2.18, 2 Cu 2.29
30 P 0.0700 0.3403 0.4338  3 P 2.20-2.24
31 P 0.1824 0.3709 0.2546  3 P 2.21-2.31
32 P 0.2615 0.4427 0.4733  3 P 2.24-2.31
33 P 0.0701 0.5634 0.2042  3 P 2.21-2.24
34 P 0.4846 0.6488 0.0189  3 P 2.21-2.27
35 P 0.1666 0.9149 0.7830  3 P 2.25-2.27
36 P 0.1730 0.6480 0.0168  3 P 2.21-2.27
37 P 0.2598 0.9072 0.0475  2 P 2.18, 2 Cu 2.29
38 P 0.0714 0.1178 0.7124  3 P 2.17-2.27, 1 Cu 2.30
39 P 0.5156 0.8502 0.4699  3 P 2.20-2.28
40 P 0.4844 0.1498 0.5301  3 P 2.20-2.28
41 Cu 0.7690 0.8826 0.0376  4 P 2.29-2.32
42 Cu 0.2310 0.1174 0.9624  4 P 2.29-2.32
43 Cu 0.2322 0.8189 0.2488  4 P 2.29-2.31
44 Cu 0.7678 0.1811 0.7512  4 P 2.29-2.31

=====

(3)
Density functional theory data (PBE) for a relaxed structure of Cu2P3.

Results
E (eV/f.u.): -23.74
Energy relative to the elements (eV per atom): 0.136

Cell: 8.1008 8.1008 8.1008 Å, 23.13 23.13 23.13°
Last column: nearest neighbours and their distance in Å.
Positions (direct):
1 Cu 0.3978 0.3978 0.3978  6 P 2.42-2.57
2 Cu 0.6022 0.6022 0.6022  6 P 2.42-2.57
3 P 0.8055 0.8055 0.8055  3 P 2.29
4 P 0.1945 0.1945 0.1945  3 P 2.29
5 P 0.0000 0.0000 0.0000  6 Cu 2.42

=====

(4)
Density functional theory data (PBE) for a relaxed structure of CuP.

Results
E (eV/f.u.): -9.36
Energy relative to the elements (eV per atom): 0.071

Cell: 3.9832 3.6103 2.5386 Å, 90.00 71.60 116.94°
Last column: nearest neighbours and their distance in Å.
Positions (direct):
1 Cu 0.0884 0.0364 0.9714  5 P 2.35-2.41, 2 Cu 2.54
2 P 0.7961 0.3904 0.6163  5 Cu 2.35-2.41, 2 P 2.54